1.
Density functional theory data (PBEsol) for crystalline Al3Pt2 at its relaxed geometry.

Properties
- space group = Fdd2 (43)
- M_tot (μB per cell) = 0.00
- uncorrected energy (eV for the cell shown) = -59.76
- V (Å³/atom) = 14.710

```
10
Lattice="4.7394 0.0000 0.0000 2.3697 4.7331 0.0000 -2.3697 0.0000 6.5577" Properties=species:S:1:pos:R:3 pbc="T T T"
Al 1.9130 0.4332 1.3766
Al 1.9130 4.2998 5.1810
Pt -0.5314 0.3542 2.5069
Pt 0.6535 2.0123 5.7857
Al 0.7913 2.3665 3.2788
Al 3.0978 1.9333 4.6555
Al 4.3458 0.0000 0.0000
Al 3.0978 2.7998 1.9022
Pt 4.2080 4.3789 4.0508
Pt 5.3929 2.7207 0.7719
```


2.
Density functional theory data (PBEsol) for crystalline Tl2HgAu at its relaxed geometry.

Properties
- space group = Imm2 (44)
- M_tot (μB per cell) = 0.00
- E above lowest polymorph (eV/atom) = 0.0138
- uncorrected energy (eV for the cell shown) = -9.66
- V (Å³/atom) = 24.170

```
4
Lattice="-1.8918 1.2770 -2.3339 -2.7770 -4.6587 -0.2981 -1.1261 3.5104 5.1165" Properties=species:S:1:pos:R:3 pbc="T T T"
Tl -0.0518 0.0272 0.0569
Hg -2.8605 1.6452 0.9358
Tl -2.9219 -1.5230 1.5350
Au -3.4212 1.7989 3.7573
```


Repeat the first record exactly.
Density functional theory data (PBEsol) for crystalline Al3Pt2 at its relaxed geometry.

Properties
- space group = Fdd2 (43)
- M_tot (μB per cell) = 0.00
- uncorrected energy (eV for the cell shown) = -59.76
- V (Å³/atom) = 14.710

```
10
Lattice="4.7394 0.0000 0.0000 2.3697 4.7331 0.0000 -2.3697 0.0000 6.5577" Properties=species:S:1:pos:R:3 pbc="T T T"
Al 1.9130 0.4332 1.3766
Al 1.9130 4.2998 5.1810
Pt -0.5314 0.3542 2.5069
Pt 0.6535 2.0123 5.7857
Al 0.7913 2.3665 3.2788
Al 3.0978 1.9333 4.6555
Al 4.3458 0.0000 0.0000
Al 3.0978 2.7998 1.9022
Pt 4.2080 4.3789 4.0508
Pt 5.3929 2.7207 0.7719
```


Copy entry 2 word for word.
Density functional theory data (PBEsol) for crystalline Tl2HgAu at its relaxed geometry.

Properties
- space group = Imm2 (44)
- M_tot (μB per cell) = 0.00
- E above lowest polymorph (eV/atom) = 0.0138
- uncorrected energy (eV for the cell shown) = -9.66
- V (Å³/atom) = 24.170

```
4
Lattice="-1.8918 1.2770 -2.3339 -2.7770 -4.6587 -0.2981 -1.1261 3.5104 5.1165" Properties=species:S:1:pos:R:3 pbc="T T T"
Tl -0.0518 0.0272 0.0569
Hg -2.8605 1.6452 0.9358
Tl -2.9219 -1.5230 1.5350
Au -3.4212 1.7989 3.7573
```